Below is DyTm2MoO6 after structural relaxation, with properties calculated at the PBE with a Hubbard U level.

## Properties
N(E_F) = 0.000 states/eV per atom
VASP energy = -81.3 eV for the cell shown

```
data_DyTm2MoO6
_cell_length_a 5.980
_cell_length_b 5.980
_cell_length_c 5.980
_cell_angle_alpha 56.62
_cell_angle_beta 56.62
_cell_angle_gamma 56.62
_space_group_name_H-M_alt 'P 1'
_space_group_IT_number 1
loop_
_space_group_symop_operation_xyz
'x,y,z'
loop_
_atom_site_label
_atom_site_fract_x
_atom_site_fract_y
_atom_site_fract_z
Dy1 0.000 0.000 0.000
Tm1 0.213 0.213 0.213
Tm2 0.720 0.720 0.720
Mo1 0.511 0.511 0.511
O1 0.117 0.405 0.805
O2 0.318 0.898 0.605
O3 0.405 0.805 0.117
O4 0.605 0.318 0.898
O5 0.805 0.117 0.405
O6 0.898 0.605 0.318
```